Record 1
Here is an optimized crystal structure of BaAs2Rh from Alexandria. Energies are from GGA-PBE.

Summary:
electronic total energy	-4.934	eV/atom

```
data_BaAs2Rh
_chemical_formula_sum 'Ba1 As2 Rh1'
_symmetry_space_group_name_H-M 'P 4/m m m'
_symmetry_Int_Tables_number 123
_symmetry_space_group_name_Hall '-P 4 2'
_cell_length_a 3.388
_cell_length_b 3.388
_cell_length_c 7.497
_cell_angle_alpha 90.00
_cell_angle_beta 90.00
_cell_angle_gamma 90.00
loop_
_atom_site_label
_atom_site_type_symbol
_atom_site_fract_x
_atom_site_fract_y
_atom_site_fract_z
_atom_site_occupancy
Ba1 Ba 0.000 0.000 0.000 1
As1 As 0.500 0.500 0.322 1
Rh1 Rh 0.000 0.000 0.500 1
```



Record 2
Here is an optimized crystal structure of BaAc2Hg8 from Alexandria. Energies are from GGA-PBE.

Summary:
electronic total energy	-1.567	eV/atom

```
data_BaAc2Hg8
_chemical_formula_sum 'Ba2 Ac4 Hg16'
_symmetry_space_group_name_H-M 'C 1 2/m 1'
_symmetry_Int_Tables_number 12
_symmetry_space_group_name_Hall '-C 2y'
_cell_length_a 8.876
_cell_length_b 16.902
_cell_length_c 5.641
_cell_angle_alpha 90.00
_cell_angle_beta 128.92
_cell_angle_gamma 90.00
loop_
_atom_site_label
_atom_site_type_symbol
_atom_site_fract_x
_atom_site_fract_y
_atom_site_fract_z
_atom_site_occupancy
Ba1 Ba 0.000 0.000 0.000 1
Ac1 Ac 0.000 0.310 0.500 1
Hg1 Hg 0.000 0.204 0.000 1
Hg2 Hg 0.030 0.500 0.277 1
Hg3 Hg 0.229 0.132 0.734 1
```



no.,E_form (eV/atom),total moment (μB per cell)
1,-0.29,0.00
2,-0.43,0.00